Record 1
DFT (PBE+U) results for a relaxed LiPb2WO6 crystal.

- uncorrected energy (eV for the cell shown) = -123.9

Unit cell a=5.685 b=5.832 c=8.068 alpha=90.00 beta=89.63 gamma=90.00
Atoms (fractional coordinates):
Li: 0.500 0.000 0.000
Li: 0.000 0.500 0.500
Pb: 0.008 0.956 0.252
Pb: 0.508 0.544 0.752
Pb: 0.992 0.044 0.748
Pb: 0.492 0.456 0.248
W: 0.500 0.000 0.500
W: 0.000 0.500 0.000
O: 0.281 0.686 0.042
O: 0.781 0.814 0.542
O: 0.719 0.314 0.958
O: 0.219 0.186 0.458
O: 0.320 0.722 0.451
O: 0.820 0.778 0.951
O: 0.680 0.278 0.549
O: 0.180 0.222 0.049
O: 0.910 0.530 0.235
O: 0.410 0.970 0.735
O: 0.090 0.470 0.765
O: 0.590 0.030 0.265


Record 2
DFT (PBE+U) results for a relaxed Li2PbWO6 crystal.

- uncorrected energy (eV for the cell shown) = -61.6

Unit cell a=5.297 b=5.297 c=5.633 alpha=61.95 beta=61.95 gamma=60.00
Atoms (fractional coordinates):
Li: 0.530 0.530 0.409
Li: 0.032 0.032 0.905
Pb: 0.813 0.813 0.560
W: 0.318 0.318 0.045
O: 0.571 0.224 0.253
O: 0.224 0.951 0.253
O: 0.951 0.571 0.253
O: 0.408 0.698 0.779
O: 0.698 0.114 0.779
O: 0.114 0.408 0.779


Total magnetization readings, ordered: 0.00; 0.00 μB per formula unit